No. 1
Here is a relaxed structure of Rb2PtS2 from Alexandria via LeMat-Bulk. Energies are from PBE.

Computed properties:
Energy relative to the elements, uncorrected = -511 meV per atom

a = 6.783 Å, b = 6.783 Å, c = 5.358 Å
α = 90.00°, β = 90.00°, γ = 90.00°
Fractional coordinates of all 10 atoms:
1 Rb 0.163 0.337 0.000
2 Rb 0.337 0.837 0.000
3 Rb 0.663 0.163 0.000
4 Rb 0.837 0.663 0.000
5 Pt 0.000 0.000 0.500
6 Pt 0.500 0.500 0.500
7 S 0.170 0.670 0.500
8 S 0.330 0.170 0.500
9 S 0.670 0.830 0.500
10 S 0.830 0.330 0.500

---

No. 2
Here is a relaxed structure of Rb2SbPtS4 from Alexandria via LeMat-Bulk. Energies are from PBE.

Computed properties:
Energy relative to the elements, uncorrected = -546 meV per atom

a = 13.575 Å, b = 11.258 Å, c = 9.102 Å
α = 82.90°, β = 55.38°, γ = 41.71°
Fractional coordinates of all 16 atoms:
1 Rb 0.031 0.031 0.719
2 Rb 0.281 0.281 0.969
3 Rb 0.719 0.719 0.031
4 Rb 0.969 0.969 0.281
5 Sb 0.375 0.375 0.375
6 Sb 0.625 0.625 0.625
7 Pt 0.125 0.125 0.125
8 Pt 0.875 0.875 0.875
9 S 0.002 0.737 0.551
10 S 0.210 0.551 0.737
11 S 0.263 0.998 0.790
12 S 0.449 0.790 0.998
13 S 0.551 0.210 0.002
14 S 0.737 0.002 0.210
15 S 0.790 0.449 0.263
16 S 0.998 0.263 0.449

---

Which of these has the lowest energy relative to the elements, uncorrected? Rb2SbPtS4

---

Among the records above, which one has the highest energy relative to the elements, uncorrected? Rb2PtS2

---

Which of these has the lowest energy relative to the elements, uncorrected? Rb2SbPtS4

---

Which of these has the highest energy relative to the elements, uncorrected? Rb2PtS2